No. 1
First-principles (PBE-GGA) data for a geometry-optimized CaNd2Gd structure, as listed in Alexandria via LeMat-Bulk.

POSCAR file:
```
CaNd2Gd
1.0
3.572 0.000 0.000
1.786 3.094 0.000
1.786 1.031 13.039
Nd Ca Gd
2 1 1
Cartesian
1.786 1.031 9.722
5.358 3.094 3.316
3.572 2.062 6.519
0.000 0.000 0.000
```

Results
DOS at the Fermi energy   1.9089 states/eV/atom
Excess energy over the best structure of this formula in the dataset   186 meV per atom
VASP energy   -6.176 eV per atom
ΔE_f   0.229 eV/atom

No. 2
First-principles (PBE-GGA) data for a geometry-optimized LiZrTi2N structure, as listed in Alexandria via LeMat-Bulk.

POSCAR file:
```
LiZrTi2N
1.0
4.140 0.000 0.000
0.000 4.140 0.000
0.000 0.000 4.514
Li Ti N Zr
1 2 1 1
Cartesian
2.070 2.070 2.257
0.000 2.070 0.000
2.070 0.000 0.000
0.000 0.000 0.000
0.000 0.000 2.257
```

Results
DOS at the Fermi energy   0.7443 states/eV/atom
VASP energy   -7.507 eV per atom
Uncorrected formation energy   -3.0 eV per formula unit

No. 3
First-principles (PBE-GGA) data for a geometry-optimized BIrAu3 structure, as listed in Alexandria via LeMat-Bulk.

POSCAR file:
```
BIrAu3
1.0
5.053 0.000 0.000
0.000 5.053 0.000
0.000 0.000 5.053
B Au Ir
1 3 1
Cartesian
2.527 2.527 2.527
0.000 2.527 0.000
0.000 0.000 2.527
2.527 0.000 0.000
0.000 0.000 0.000
```

Results
DOS at the Fermi energy   1.0332 states/eV/atom
Excess energy over the best structure of this formula in the dataset   1154 meV per atom
VASP energy   -3.196 eV per atom
ΔE_f   1.878 eV/atom

No. 4
First-principles (PBE-GGA) data for a geometry-optimized ScZn2AgH structure, as listed in Alexandria via LeMat-Bulk.

POSCAR file:
```
ScZn2AgH
1.0
4.370 0.000 0.000
0.000 4.370 0.000
0.000 0.000 3.815
Zn Ag H Sc
2 1 1 1
Cartesian
2.185 0.000 0.000
0.000 2.185 0.000
2.185 2.185 1.907
0.000 0.000 0.000
0.000 0.000 1.907
```

Results
DOS at the Fermi energy   0.5105 states/eV/atom
VASP energy   -3.158 eV per atom

No. 5
First-principles (PBE-GGA) data for a geometry-optimized NaHg6Pb5 structure, as listed in Alexandria via LeMat-Bulk.

POSCAR file:
```
NaHg6Pb5
1.0
5.621 -1.133 -2.315
-4.489 8.201 0.367
-2.165 2.760 8.674
Hg Pb Na
6 5 1
Cartesian
-0.425 6.552 6.439
-3.589 8.026 6.261
-0.607 3.277 0.287
2.556 1.803 0.466
-1.178 8.315 3.747
0.146 1.514 2.979
-0.516 4.914 3.363
-2.951 4.601 5.864
1.918 5.228 0.862
0.247 3.126 6.093
-1.280 6.702 0.633
0.000 0.000 0.000
```

Results
DOS at the Fermi energy   0.3710 states/eV/atom
VASP energy   -1.819 eV per atom
ΔE_f   -0.013 eV/atom

No. 6
First-principles (PBE-GGA) data for a geometry-optimized SrB2Au2 structure, as listed in Alexandria via LeMat-Bulk.

POSCAR file:
```
SrB2Au2
1.0
-2.941 6.214 -3.219
-6.519 -3.703 -1.192
-1.006 0.910 2.676
Au Sr B
4 2 4
Cartesian
-6.655 3.103 -3.558
-2.805 -0.592 -0.854
-2.672 3.426 -2.170
-6.788 -0.915 -2.241
0.000 0.000 0.000
-4.730 1.256 -2.206
-2.455 2.228 0.001
-5.035 -1.058 0.149
-5.431 4.480 -1.883
-8.011 1.193 -1.736
```

Results
DOS at the Fermi energy   0.2531 states/eV/atom
VASP energy   -3.386 eV per atom
ΔE_f   0.932 eV/atom

No. 7
First-principles (PBE-GGA) data for a geometry-optimized BaHgCl structure, as listed in Alexandria via LeMat-Bulk.

POSCAR file:
```
BaHgCl
1.0
5.363 0.000 0.000
2.682 4.645 0.000
2.682 1.548 4.379
Cl Hg Ba
1 1 1
Cartesian
8.045 4.645 3.284
0.000 0.000 0.000
5.363 3.096 2.189
```

Results
DOS at the Fermi energy   0.3985 states/eV/atom
Excess energy over the best structure of this formula in the dataset   220 meV per atom
VASP energy   -2.497 eV per atom
Uncorrected formation energy   -3.4 eV per formula unit

No. 8
First-principles (PBE-GGA) data for a geometry-optimized HoPuSe3 structure, as listed in Alexandria via LeMat-Bulk.

POSCAR file:
```
HoPuSe3
1.0
-2.013 3.416 0.836
-6.908 -3.543 -2.159
-0.598 -2.280 7.873
Se Ho Pu
6 2 2
Cartesian
-6.029 -0.519 2.332
-4.262 -0.779 7.648
-2.435 1.456 2.916
-5.257 -1.628 -1.097
-3.490 -1.888 4.219
-7.084 -3.863 3.635
-6.621 -2.928 0.931
-2.898 0.521 5.620
-6.213 -1.376 5.392
-3.306 -1.030 1.159
```

Results
DOS at the Fermi energy   2.0636 states/eV/atom
VASP energy   -7.495 eV per atom
Uncorrected formation energy   -8.1 eV per formula unit